No. 1
Here is crystalline Ti2GaTe2 at its relaxed geometry from Alexandria via LeMat-Bulk. Energies are from PBE.

Computed properties:
For the energy relative to the lowest polymorph listed for this composition, the calculation gives 213 meV per atom. As for the total magnetization: 2.02 μB per cell.

Cell lengths 7.943, 7.943, 3.438 Å; angles 90.00, 90.00, 90.00 degrees
Space group P4/mbm (No. 127)
Symmetry-distinct sites (fractional):
Ti 0.142 0.358 0.000 (multiplicity 4)
Ga 0.000 0.000 0.500 (multiplicity 2)
Te 0.148 0.648 0.500 (multiplicity 4)

No. 2
Here is crystalline Pa2MoPd at its relaxed geometry from Alexandria via LeMat-Bulk. Energies are from PBE.

Computed properties:
For the energy relative to the lowest polymorph listed for this composition, the calculation gives 0 meV per atom. As for the total magnetization: 0.00 μB per cell. The value obtained for the energy relative to the elements is -47 kJ/mol of formula units.

Cell lengths 3.434, 3.434, 7.233 Å; angles 90.00, 90.00, 90.00 degrees
Space group P4/mmm (No. 123)
Symmetry-distinct sites (fractional):
Pa 0.000 0.000 0.238 (multiplicity 2)
Mo 0.500 0.500 0.000 (multiplicity 1)
Pd 0.500 0.500 0.500 (multiplicity 1)

No. 3
Here is crystalline TbDy2ScP4 at its relaxed geometry from Alexandria via LeMat-Bulk. Energies are from PBE.

Computed properties:
As for the total magnetization: 0.00 μB per cell. The value obtained for the energy relative to the elements is -1205 kJ/mol of formula units.

Cell lengths 6.845, 3.958, 6.846 Å; angles 90.00, 109.48, 90.00 degrees
Space group P2/m (No. 10)
Symmetry-distinct sites (fractional):
Tb 0.000 0.000 0.000 (multiplicity 1)
Dy 0.000 0.500 0.500 (multiplicity 1)
Dy 0.500 0.000 0.500 (multiplicity 1)
Sc 0.500 0.500 0.000 (multiplicity 1)
P 0.256 0.500 0.246 (multiplicity 2)
P 0.260 0.000 0.759 (multiplicity 2)

No. 4
Here is crystalline Pm3U2Ru6 at its relaxed geometry from Alexandria via LeMat-Bulk. Energies are from PBE.

Computed properties:
As for the total magnetization: 0.00 μB per cell. The value obtained for the energy relative to the elements is -239 kJ/mol of formula units.

Cell lengths 9.768, 9.768, 9.768 Å; angles 90.00, 90.00, 90.00 degrees
Space group Im-3m (No. 229)
Symmetry-distinct sites (fractional):
Pm 0.000 0.000 0.309 (multiplicity 12)
U 0.250 0.250 0.250 (multiplicity 8)
Ru 0.000 0.319 0.319 (multiplicity 24)

No. 5
Here is crystalline CsHgGeBr2 at its relaxed geometry from Alexandria via LeMat-Bulk. Energies are from PBE.

Computed properties:
As for the total magnetization: 0.00 μB per cell. The total energy comes out at -2.54 eV/atom.

Cell lengths 5.764, 5.764, 5.534 Å; angles 90.00, 90.00, 90.00 degrees
Space group P4/mmm (No. 123)
Symmetry-distinct sites (fractional):
Cs 0.000 0.000 0.000 (multiplicity 1)
Hg 0.500 0.500 0.000 (multiplicity 1)
Ge 0.500 0.500 0.500 (multiplicity 1)
Br 0.000 0.500 0.500 (multiplicity 2)

No. 6
Here is crystalline MnCrCd at its relaxed geometry from Alexandria via LeMat-Bulk. Energies are from PBE.

Computed properties:
For the energy relative to the lowest polymorph listed for this composition, the calculation gives 0 meV per atom. As for the total magnetization: 0.04 μB per cell. The value obtained for the energy relative to the elements is 72 kJ/mol of formula units.

Cell lengths 3.218, 3.218, 9.318 Å; angles 90.00, 90.00, 90.00 degrees
Space group I4mm (No. 107)
Symmetry-distinct sites (fractional):
Mn 0.000 0.000 0.000 (multiplicity 2)
Cr 0.000 0.000 0.619 (multiplicity 2)
Cd 0.000 0.000 0.311 (multiplicity 2)

No. 7
Here is crystalline LaAg22 at its relaxed geometry from Alexandria via LeMat-Bulk. Energies are from PBE.

Computed properties:
As for the total magnetization: 0.00 μB per cell. The value obtained for the energy relative to the elements is 131 kJ/mol of formula units.

Cell lengths 15.282, 15.282, 15.282 Å; angles 90.00, 90.00, 90.00 degrees
Space group Fd-3m (No. 227, origin choice 2)
Symmetry-distinct sites (fractional):
La 0.125 0.125 0.125 (multiplicity 8)
Ag 0.000 0.000 0.000 (multiplicity 16)
Ag 0.000 0.000 0.500 (multiplicity 16)
Ag 0.012 0.375 0.875 (multiplicity 48)
Ag 0.059 0.059 0.324 (multiplicity 96)

No. 8
Here is crystalline SrCd2Cu at its relaxed geometry from Alexandria via LeMat-Bulk. Energies are from PBE.

Computed properties:
As for the total magnetization: 0.00 μB per cell. The value obtained for the energy relative to the elements is -16 kJ/mol of formula units.

Cell lengths 3.540, 3.540, 7.765 Å; angles 90.00, 90.00, 90.00 degrees
Space group P4mm (No. 99)
Symmetry-distinct sites (fractional):
Sr 0.000 0.000 0.000 (multiplicity 1)
Cd 0.000 0.000 0.566 (multiplicity 1)
Cd 0.500 0.500 0.317 (multiplicity 1)
Cu 0.500 0.500 0.724 (multiplicity 1)